Density functional theory data (PBE) for SrMgCu2F8 after structural relaxation.

a = 5.3450 Å, b = 5.3450 Å, c = 6.8311 Å
α = 90.00°, β = 90.00°, γ = 120.00°
Space group P-3 (No. 147)
One atom of each set of equivalent atoms:
Sr 0.0000 0.0000 0.0000 x1
Mg 0.0000 0.0000 0.5000 x1
Cu 0.3333 0.6667 0.7036 x2
F 0.0098 0.7174 0.3185 x6
F 0.3333 0.6667 0.9746 x2

Total DFT energy (no corrections), eV per atom: -4.63
DOS(E_F), states/eV/cell: 13.9
Formation energy without anion corrections, meV/atom: -2429

=====

Density functional theory data (PBE) for SrMgCuF6 after structural relaxation.

a = 5.3266 Å, b = 5.3266 Å, c = 10.4985 Å
α = 90.00°, β = 90.00°, γ = 120.00°
Space group P-31c (No. 163)
One atom of each set of equivalent atoms:
Sr 0.0000 0.0000 0.0000 x2
Mg 0.3333 0.6667 0.2500 x2
Cu 0.3333 0.6667 0.7500 x2
F 0.0059 0.3685 0.1435 x12

Total DFT energy (no corrections), eV per atom: -5.05
DOS(E_F), states/eV/cell: 14.2
Formation energy without anion corrections, meV/atom: -2979